# BaHgCl | Alexandria via LeMat-Bulk | PBE | relaxed
data_BaHgCl
_symmetry_space_group_name_H-M 'P 3 m 1'
_symmetry_Int_Tables_number 156
_symmetry_space_group_name_Hall 'P 3 -2"'
_cell_length_a 5.2828
_cell_length_b 5.2828
_cell_length_c 4.7907
_cell_angle_alpha 90.00
_cell_angle_beta 90.00
_cell_angle_gamma 120.00
loop_
_atom_site_label
_atom_site_type_symbol
_atom_site_fract_x
_atom_site_fract_y
_atom_site_fract_z
Ba1 Ba 0.0000 0.0000 0.0000
Hg1 Hg 0.3333 0.6667 0.5026
Cl1 Cl 0.6667 0.3333 0.0037
# E above lowest polymorph in eV/atom: 0.159